Na3Nd2PaSe6 | Alexandria | PBE | relaxed; formation energy (no corrections) = -1.53 eV per atom
1.0
7.308 -0.001 0.000
-3.653 6.330 0.000
-1.220 -2.112 7.059
Se Na Nd Pa
6 3 2 1
Direct
0.403 0.079 0.238
0.079 0.403 0.238
0.756 0.756 0.237
0.244 0.244 0.763
0.597 0.921 0.762
0.921 0.597 0.762
0.831 0.169 0.500
0.500 0.500 0.500
0.169 0.831 0.500
0.334 0.666 0.000
0.666 0.334 0.000
0.000 0.000 0.000